[1]
Crystalline InGe2Se2 at its relaxed geometry, computed with GGA-PBE.

```
InGe2Se2
1.0
-2.602 2.602 4.743
2.602 -2.602 4.743
2.602 2.602 -4.743
In Ge Se
1 2 2
Direct
0.000 0.000 0.000 In
0.349 0.349 0.000 Ge
0.651 0.651 0.000 Ge
0.250 0.750 0.500 Se
0.750 0.250 0.500 Se
```

E_form (uncorrected) (eV/f.u.): -0.24
Volume (Å³ per atom): 25.69
Electronic total energy (eV/atom): -3.837
Symmetry: I4/mmm (139)
DOS(E_F) (states/eV/atom): 0.4028

---

[2]
Crystalline InGeSe4 at its relaxed geometry, computed with GGA-PBE.

```
InGeSe4
1.0
5.900 0.000 0.000
0.000 5.900 0.000
0.000 0.000 10.309
In Ge Se
2 2 8
Direct
0.000 0.000 0.000 In
0.000 0.000 0.500 In
0.000 0.500 0.250 Ge
0.500 0.000 0.750 Ge
0.265 0.278 0.372 Se
0.265 0.722 0.128 Se
0.278 0.265 0.872 Se
0.278 0.735 0.628 Se
0.722 0.265 0.628 Se
0.722 0.735 0.872 Se
0.735 0.278 0.128 Se
0.735 0.722 0.372 Se
```

E_form (uncorrected) (eV/f.u.): -1.35
Volume (Å³ per atom): 29.90
Electronic total energy (eV/atom): -3.774
Symmetry: P-42c (112)
DOS(E_F) (states/eV/atom): 1.0084

---

[3]
Crystalline InGeSe2 at its relaxed geometry, computed with GGA-PBE.

```
InGeSe2
1.0
1.972 1.138 8.462
-1.972 1.138 8.462
0.000 -2.277 8.462
In Ge Se
1 1 2
Direct
0.000 0.000 0.000 In
0.500 0.500 0.500 Ge
0.395 0.395 0.395 Se
0.605 0.605 0.605 Se
```

E_form (uncorrected) (eV/f.u.): -0.16
Volume (Å³ per atom): 28.49
Electronic total energy (eV/atom): -3.621
Symmetry: R-3m (166)
DOS(E_F) (states/eV/atom): 0.3541

---

Question: Which of these has the highest volume?
Answer: InGeSe4

---

Copy entry 3 word for word.
Crystalline InGeSe2 at its relaxed geometry, computed with GGA-PBE.

```
InGeSe2
1.0
1.972 1.138 8.462
-1.972 1.138 8.462
0.000 -2.277 8.462
In Ge Se
1 1 2
Direct
0.000 0.000 0.000 In
0.500 0.500 0.500 Ge
0.395 0.395 0.395 Se
0.605 0.605 0.605 Se
```

E_form (uncorrected) (eV/f.u.): -0.16
Volume (Å³ per atom): 28.49
Electronic total energy (eV/atom): -3.621
Symmetry: R-3m (166)
DOS(E_F) (states/eV/atom): 0.3541

---

Question: Which of these has the highest electronic total energy?
Answer: InGeSe2

---

Question: Among the records above, which one has the lowest electronic total energy?
Answer: InGe2Se2